(1)
Below is a relaxed AgMoAu crystal, with properties calculated at the GGA-PBEsol level.

The calculation puts the energy of formation from the pure elements at 2.538 eV/f.u. For the total moment, the calculation gives 0.00 μB per cell. The electronic total energy is -5.488 eV/atom.

The space group is F-43m (No. 216) and the conventional cell measures 6.0722, 6.0722 and 6.0722 Å, with angles of 90.00, 90.00 and 90.00 degrees. Symmetry generates all atoms from Ag at (0.0000, 0.0000, 0.0000), Mo at (0.0000, 0.0000, 0.5000) and Au at (0.2500, 0.2500, 0.7500).


(2)
Below is a relaxed Cu3BiAs crystal, with properties calculated at the GGA-PBEsol level.

The calculation puts the energy of formation from the pure elements at 5.951 eV/f.u. For the total moment, the calculation gives 0.00 μB per cell. The electronic total energy is -3.289 eV/atom.

The space group is Pm-3m (No. 221) and the conventional cell measures 4.8462, 4.8462 and 4.8462 Å, with angles of 90.00, 90.00 and 90.00 degrees. Symmetry generates all atoms from Cu at (0.0000, 0.0000, 0.5000), Bi at (0.0000, 0.0000, 0.0000) and As at (0.5000, 0.5000, 0.5000).


(3)
Below is a relaxed TaNiP crystal, with properties calculated at the GGA-PBEsol level.

The calculation puts the energy of formation from the pure elements at -0.101 eV/f.u. For the total moment, the calculation gives 0.00 μB per cell. The electronic total energy is -8.200 eV/atom.

The space group is F-43m (No. 216) and the conventional cell measures 5.7554, 5.7554 and 5.7554 Å, with angles of 90.00, 90.00 and 90.00 degrees. Symmetry generates all atoms from Ta at (0.0000, 0.0000, 0.0000), Ni at (0.2500, 0.2500, 0.2500) and P at (0.2500, 0.2500, 0.7500).


(4)
Below is a relaxed Be2POs crystal, with properties calculated at the GGA-PBEsol level.

The calculation puts the energy of formation from the pure elements at -0.354 eV/f.u. For the total moment, the calculation gives 0.00 μB per cell. The electronic total energy is -6.590 eV/atom.

The space group is Pmm2 (No. 25) and the conventional cell measures 2.9504, 3.5625 and 3.9918 Å, with angles of 90.00, 90.00 and 90.00 degrees. Symmetry generates all atoms from Be at (0.0000, 0.0000, 0.0000), Be at (0.0000, 0.5000, 0.3308), P at (0.5000, 0.0000, 0.4197) and Os at (0.5000, 0.5000, 0.8147).


(5)
Below is a relaxed KRbTa2 crystal, with properties calculated at the GGA-PBEsol level.

The calculation puts the energy of formation from the pure elements at 11.218 eV/f.u. For the total moment, the calculation gives 7.56 μB per cell. The electronic total energy is -4.011 eV/atom.

The space group is Fm-3m (No. 225) and the conventional cell measures 7.5362, 7.5362 and 7.5362 Å, with angles of 90.00, 90.00 and 90.00 degrees. Symmetry generates all atoms from K at (0.0000, 0.0000, 0.0000), Rb at (0.0000, 0.0000, 0.5000) and Ta at (0.2500, 0.2500, 0.2500).


(6)
Below is a relaxed KZnRu crystal, with properties calculated at the GGA-PBEsol level.

The calculation puts the energy of formation from the pure elements at 1.963 eV/f.u. For the total moment, the calculation gives 0.00 μB per cell. The electronic total energy is -3.642 eV/atom.

The space group is I4mm (No. 107) and the conventional cell measures 3.3048, 3.3048 and 11.8155 Å, with angles of 90.00, 90.00 and 90.00 degrees. Symmetry generates all atoms from K at (0.0000, 0.0000, 0.0000), Zn at (0.0000, 0.0000, 0.7216) and Ru at (0.0000, 0.0000, 0.2834).


(7)
Below is a relaxed SrInCu2 crystal, with properties calculated at the GGA-PBEsol level.

The calculation puts the energy of formation from the pure elements at 0.280 eV/f.u. For the total moment, the calculation gives 0.00 μB per cell. The electronic total energy is -3.303 eV/atom.

The space group is P4/mmm (No. 123) and the conventional cell measures 3.4925, 3.4925 and 6.7718 Å, with angles of 90.00, 90.00 and 90.00 degrees. Symmetry generates all atoms from Sr at (0.0000, 0.0000, 0.0000), In at (0.0000, 0.0000, 0.5000) and Cu at (0.5000, 0.5000, 0.3100).


(8)
Below is a relaxed Sn2PdBr crystal, with properties calculated at the GGA-PBEsol level.

The value obtained for the raw formation energy is -9 meV/atom. For the total moment, the calculation gives 0.00 μB per cell. The electronic total energy is -4.096 eV/atom.

The space group is Fm-3m (No. 225) and the conventional cell measures 7.0500, 7.0500 and 7.0500 Å, with angles of 90.00, 90.00 and 90.00 degrees. Symmetry generates all atoms from Sn at (0.2500, 0.2500, 0.2500), Pd at (0.0000, 0.0000, 0.0000) and Br at (0.0000, 0.0000, 0.5000).